# NaFeAsO3

An optimized crystal structure of NaFeAsO3 (PBE with a Hubbard U, Alexandria via LeMat-Bulk).

Geometry as POSCAR:
```
NaFeAsO3
1.0
2.204 -5.361 0.000
2.204 5.361 0.000
0.000 0.000 7.741
Na Fe As O
2 2 2 6
Direct
0.243 0.757 0.750 Na
0.757 0.243 0.250 Na
0.500 0.500 0.000 Fe
0.500 0.500 0.500 Fe
0.034 0.966 0.250 As
0.966 0.034 0.750 As
0.134 0.866 0.068 O
0.134 0.866 0.432 O
0.477 0.523 0.750 O
0.523 0.477 0.250 O
0.866 0.134 0.568 O
0.866 0.134 0.932 O
```

Values from the calculation:
**Density of states at the Fermi level**: 0.00 states/eV per cell
**Uncorrected energy**: -0.2043 hartree per atom
**Calculated density**: 3.7 Mg/m³
**Space group**: Cmcm